Density functional theory data (PBE) for Pr3SnSe after structural relaxation.

Summary:
* energy: -105.6 eV/cell
* mass density: 6.282 g cm⁻³
* calculated volume: 32.80 Å³ per atom
* space group: P2_1/c (14)

Cell: 9.5380 6.9349 10.8540 Å, 90.00 113.99 90.00°
Atoms (fractional coordinates):
Pr 0.0555 0.0829 0.3350
Pr 0.0555 0.4171 0.8350
Pr 0.2055 0.5863 0.5309
Pr 0.2055 0.9137 0.0309
Pr 0.4095 0.2026 0.8263
Pr 0.4095 0.2974 0.3263
Pr 0.5905 0.7026 0.6737
Pr 0.5905 0.7974 0.1737
Pr 0.7945 0.0863 0.9691
Pr 0.7945 0.4137 0.4691
Pr 0.9445 0.5829 0.1650
Pr 0.9445 0.9171 0.6650
Sn 0.3548 0.7177 0.8404
Sn 0.3548 0.7823 0.3404
Sn 0.6452 0.2177 0.6596
Sn 0.6452 0.2823 0.1596
Se 0.0982 0.2348 0.6016
Se 0.0982 0.2652 0.1016
Se 0.9018 0.7348 0.8984
Se 0.9018 0.7652 0.3984